Compound: ScF3
Source: the Alexandria database
Functional: PBE
Structure: optimized geometry

Lattice parameters (Å, degrees): 3.899 3.899 4.030 103.28 103.28 102.13
Element x y z (fractional)
Sc1 0.000 0.000 0.000
F1 0.077 0.539 0.137
F2 0.461 0.923 0.863
F3 0.920 0.080 0.500

Summary:
- energy relative to the elements, uncorrected (eV per atom) = -3.8083
- volume (Å³ per atom) = 13.94
- E (eV per atom) = -6.79
- total moment (μB per atom) = 0.000



Compound: ScF3
Source: the Alexandria database
Functional: PBE
Structure: optimized geometry

Lattice parameters (Å, degrees): 4.067 4.067 4.067 90.00 90.00 90.00
Element x y z (fractional)
Sc1 0.000 0.000 0.000
F1 0.000 0.000 0.500
F2 0.000 0.500 0.000
F3 0.500 0.000 0.000

Summary:
- energy relative to the elements, uncorrected (eV per atom) = -3.9810
- volume (Å³ per atom) = 16.82
- E (eV per atom) = -6.97
- total moment (μB per atom) = 0.000



Compound: ScF3
Source: the Alexandria database
Functional: PBE
Structure: optimized geometry

Lattice parameters (Å, degrees): 4.510 4.510 4.510 141.44 77.66 115.58
Element x y z (fractional)
Sc1 0.000 0.000 0.000
F1 0.345 0.669 0.676
F2 0.711 0.211 0.500
F3 0.993 0.669 0.324

Summary:
- energy relative to the elements, uncorrected (eV per atom) = -3.7494
- volume (Å³ per atom) = 12.58
- E (eV per atom) = -6.74
- total moment (μB per atom) = 0.000